# DyErGaIr | Alexandria | PBE | relaxed
# Fermi-level density of states ... 2.3 states/eV per cell
# V ... 84.9 Å³/cell
# Mass density ... 11.6 g/cm3
# DFT formation energy ... -2.80 eV per formula unit
# Energy above the lowest structure with this stoichiometry ... 58 meV per atom
data_DyErGaIr
_chemical_formula_sum 'Dy1 Er1 Ga1 Ir1'
_space_group_name_H-M_alt 'P 1'
_space_group_IT_number 1
_cell_length_a 4.9333
_cell_length_b 4.9333
_cell_length_c 4.9333
_cell_angle_alpha 60.00
_cell_angle_beta 60.00
_cell_angle_gamma 60.00
loop_
_space_group_symop_operation_xyz
'x,y,z'
loop_
_atom_site_label
_atom_site_fract_x
_atom_site_fract_y
_atom_site_fract_z
Ir1 0.7500 0.7500 0.7500
Dy1 0.0000 0.0000 0.0000
Ga1 0.2500 0.2500 0.2500
Er1 0.5000 0.5000 0.5000